No. 1
The following is a PBE calculation of crystalline ReTeBr2 at its relaxed geometry, from Alexandria.

Cell: 10.676 10.676 10.676 Å, 17.89 17.89 17.89°
Each line ends with the local moment (μB).
Positions (direct):
1 Re 0.250 0.250 0.250  0.08
2 Te 0.750 0.750 0.750  0.00
3 Br 0.972 0.972 0.972  0.00
4 Br 0.528 0.528 0.528  0.00

Results
The space group is No. 166. Its mass density is 7.8 g/cm³. The calculation puts the formation energy from raw total energies at 0.517 eV per atom.


No. 2
The following is a PBE calculation of crystalline ScAuSe2 at its relaxed geometry, from Alexandria.

Cell: 6.443 3.824 3.678 Å, 90.00 106.57 89.98°
Positions (direct):
1 Sc 0.461 0.628 0.290
2 Au 0.079 0.128 0.100
3 Se 0.120 0.628 0.621
4 Se 0.623 0.128 0.872

Results
The space group is No. 38. Its mass density is 7.6 g/cm³. The calculation puts the formation energy from raw total energies at -0.945 eV per atom.


Taking the records one at a time from the top gives VASP energy values of -4.217; -5.090 eV per atom.
Taking the records one at a time from the top gives size of the total moment values of 0.09; 0.00 μB/f.u..